A:
Li6AcZn2 | PBE | optimized geometry

The structure in extended XYZ format:
```
9
Lattice="-1.559 -1.242 3.443 -0.630 -7.308 -0.638 5.372 -3.747 3.364" Properties=species:S:1:pos:R:3 pbc="T T T"
Li 2.006 -8.966 2.250
Li 1.178 -3.331 3.919
Li -0.842 -4.529 2.573
Li 2.563 -5.572 3.732
Li 0.621 -6.725 2.437
Li 4.025 -7.768 3.596
Ac -1.558 -1.242 3.443
Zn 1.622 -4.363 1.450
Zn 1.561 -7.934 4.719
```

Values from the calculation:
V: 186.98 Å³ per cell



B:
Li6AcZn2 | PBE | optimized geometry

The structure in extended XYZ format:
```
9
Lattice="4.289 0.000 0.000 0.000 4.289 0.000 0.000 0.000 10.576" Properties=species:S:1:pos:R:3 pbc="T T T"
Li 0.000 2.144 3.134
Li 2.144 0.000 3.134
Li 0.000 2.144 7.442
Li 2.144 0.000 7.442
Li 2.144 2.144 5.288
Li 0.000 0.000 5.288
Ac 0.000 0.000 0.000
Zn 2.144 2.144 1.446
Zn 2.144 2.144 9.130
```

Values from the calculation:
V: 194.52 Å³ per cell



Out of the structures above, which one is the least stable? Solution: A.